Entry 1:
The following is a DFT calculation (PBE) of a relaxed TlSi2Pb crystal.

Properties
Energy above the lowest structure with this stoichiometry ... 429.0 meV per atom

Cell and atoms, written as CIF:
```
data_TlSi2Pb
_cell_length_a 5.605
_cell_length_b 5.605
_cell_length_c 5.605
_cell_angle_alpha 131.82
_cell_angle_beta 131.82
_cell_angle_gamma 70.51
_symmetry_space_group_name_H-M 'P 1'
_symmetry_Int_Tables_number 1
_symmetry_space_group_name_Hall 'P 1'
loop_
_atom_site_label
_atom_site_type_symbol
_atom_site_fract_x
_atom_site_fract_y
_atom_site_fract_z
Tl1 Tl 0.000 0.000 0.000
Si1 Si 0.500 0.500 0.000
Si2 Si 0.750 0.250 0.500
Pb1 Pb 0.250 0.750 0.500
```

=====

Entry 2:
The following is a DFT calculation (PBE) of a relaxed KAg2Te2 crystal.

Properties
Energy above the lowest structure with this stoichiometry ... 163.9 meV per atom

Cell and atoms, written as CIF:
```
data_KAg2Te2
_cell_length_a 8.676
_cell_length_b 8.676
_cell_length_c 3.536
_cell_angle_alpha 90.00
_cell_angle_beta 90.00
_cell_angle_gamma 90.00
_symmetry_space_group_name_H-M 'P 1'
_symmetry_Int_Tables_number 1
_symmetry_space_group_name_Hall 'P 1'
loop_
_atom_site_label
_atom_site_type_symbol
_atom_site_fract_x
_atom_site_fract_y
_atom_site_fract_z
K1 K 0.000 0.000 0.000
K2 K 0.500 0.500 0.000
Ag1 Ag 0.118 0.382 0.000
Ag2 Ag 0.382 0.882 0.000
Ag3 Ag 0.618 0.118 0.000
Ag4 Ag 0.882 0.618 0.000
Te1 Te 0.180 0.680 0.500
Te2 Te 0.320 0.180 0.500
Te3 Te 0.680 0.820 0.500
Te4 Te 0.820 0.320 0.500
```

=====

Entry 3:
The following is a DFT calculation (PBE) of a relaxed ZrIr2Au crystal.

Properties
Energy above the lowest structure with this stoichiometry ... 266.7 meV per atom

Cell and atoms, written as CIF:
```
data_ZrIr2Au
_cell_length_a 4.590
_cell_length_b 4.590
_cell_length_c 4.590
_cell_angle_alpha 60.00
_cell_angle_beta 60.00
_cell_angle_gamma 60.00
_symmetry_space_group_name_H-M 'P 1'
_symmetry_Int_Tables_number 1
_symmetry_space_group_name_Hall 'P 1'
loop_
_atom_site_label
_atom_site_type_symbol
_atom_site_fract_x
_atom_site_fract_y
_atom_site_fract_z
Zr1 Zr 0.000 0.000 0.000
Ir1 Ir 0.250 0.250 0.250
Ir2 Ir 0.750 0.750 0.750
Au1 Au 0.500 0.500 0.500
```

=====

Entry 4:
The following is a DFT calculation (PBE) of a relaxed YScAs2Se crystal.

Properties
Energy above the lowest structure with this stoichiometry ... 500.7 meV per atom

Cell and atoms, written as CIF:
```
data_YScAs2Se
_cell_length_a 5.318
_cell_length_b 5.318
_cell_length_c 5.325
_cell_angle_alpha 90.00
_cell_angle_beta 90.00
_cell_angle_gamma 90.00
_symmetry_space_group_name_H-M 'P 1'
_symmetry_Int_Tables_number 1
_symmetry_space_group_name_Hall 'P 1'
loop_
_atom_site_label
_atom_site_type_symbol
_atom_site_fract_x
_atom_site_fract_y
_atom_site_fract_z
Y1 Y 0.000 0.000 0.000
Sc1 Sc 0.500 0.500 0.500
As1 As 0.000 0.500 0.000
As2 As 0.500 0.000 0.000
Se1 Se 0.000 0.000 0.500
```

=====

Number 1: N(E_F) 0.45 states/eV per atom, magnetization 0.00 μB per formula unit. Number 2: N(E_F) 0.35 states/eV per atom, magnetization 0.00 μB per formula unit. Number 3: N(E_F) 1.63 states/eV per atom, magnetization 0.00 μB per formula unit. Number 4: N(E_F) 1.08 states/eV per atom, magnetization 0.00 μB per formula unit.